Entry 1:
## CoSnP2O8 (meta-GGA SCAN)

Data for CoSnP2O8 at its PBEsol-relaxed geometry.

Calculated values
**V**: 11.81 A^3/atom
**Space-group type**: P2_1/m (11)
**E_form (uncorrected)**: -2.078 eV per atom
**E**: -12.401 eV per atom

abc: 4.892 5.869 9.875
angles: 90.00 90.87 90.00
Sites, in units of the cell vectors:
O (0.770, 0.454, 0.663)
P (0.111, 0.750, 0.908)
O (0.815, 0.250, 0.940)
Co (0.565, 0.750, 0.726)
O (0.339, 0.750, 0.563)
O (0.230, 0.954, 0.337)
O (0.260, 0.957, 0.838)
P (0.382, 0.750, 0.412)
O (0.689, 0.750, 0.383)
Sn (0.943, 0.750, 0.225)
O (0.740, 0.457, 0.162)
O (0.661, 0.250, 0.437)
O (0.740, 0.043, 0.162)
P (0.889, 0.250, 0.092)
O (0.770, 0.046, 0.663)
O (0.185, 0.750, 0.060)
Co (0.435, 0.250, 0.274)
O (0.805, 0.750, 0.885)
Sn (0.057, 0.250, 0.775)
O (0.260, 0.543, 0.838)
P (0.618, 0.250, 0.588)
O (0.195, 0.250, 0.115)
O (0.230, 0.546, 0.337)
O (0.311, 0.250, 0.617)

Entry 2:
## AlNi2W (meta-GGA SCAN)

Data for AlNi2W at its PBEsol-relaxed geometry.

Calculated values
**V**: 12.26 A^3/atom
**Space-group type**: P4/mmm (123)
**Energy of formation**: -0.3144 eV per atom
**E**: -27.761 eV per atom

abc: 2.693 2.693 6.761
angles: 90.00 90.00 90.00
Sites, in units of the cell vectors:
Ni (0.000, 0.000, 0.269)
W (0.500, 0.500, 0.000)
Ni (0.000, 0.000, 0.731)
Al (0.500, 0.500, 0.500)